Record 1
# ZrCu3W

ZrCu3W after structural relaxation (GGA-PBE, Alexandria via LeMat-Bulk).

a = 4.5914 Å, b = 4.5914 Å, c = 4.5914 Å
α = 90.00°, β = 90.00°, γ = 90.00°
Closest atoms and distances in Å follow each position.
Fractional coordinates of all 5 atoms:
Cu  0.0000  0.5000  0.0000  2 W 2.30
Cu  0.0000  0.0000  0.5000  2 W 2.30
Cu  0.5000  0.0000  0.0000  2 W 2.30
W  0.0000  0.0000  0.0000  6 Cu 2.30
Zr  0.5000  0.5000  0.5000  12 Cu 3.25

Calculated values
Crystal system: cubic
M_tot (μB/atom): 0.00
ΔH_f (0 K) (eV/atom): 1.216
Raw total energy (eV/atom): -5.54

---

Record 2
# ZrCuW4

ZrCuW4 after structural relaxation (GGA-PBE, Alexandria via LeMat-Bulk).

a = 5.3297 Å, b = 5.3297 Å, c = 5.3297 Å
α = 60.00°, β = 60.00°, γ = 60.00°
Closest atoms and distances in Å follow each position.
Fractional coordinates of all 6 atoms:
W  0.3746  0.3746  0.3746  6 W 2.66-2.67
W  0.3746  0.8762  0.3746  6 W 2.66-2.67
W  0.3746  0.3746  0.8762  6 W 2.66-2.67
W  0.8762  0.3746  0.3746  6 W 2.66-2.67
Zr  0.7500  0.7500  0.7500  12 W 3.13, 4 Cu 3.26
Cu  0.0000  0.0000  0.0000  12 W 3.12, 4 Zr 3.26

Calculated values
Crystal system: cubic
M_tot (μB/atom): 0.00
ΔH_f (0 K) (eV/atom): 0.408
Raw total energy (eV/atom): -10.33

---

Record 3
# ZrCuW3

ZrCuW3 after structural relaxation (GGA-PBE, Alexandria via LeMat-Bulk).

a = 4.5640 Å, b = 4.5640 Å, c = 4.5640 Å
α = 90.00°, β = 90.00°, γ = 90.00°
Closest atoms and distances in Å follow each position.
Fractional coordinates of all 5 atoms:
Zr  0.5000  0.5000  0.5000  12 W 3.23
W  0.0000  0.0000  0.5000  2 Cu 2.28
W  0.5000  0.0000  0.0000  2 Cu 2.28
W  0.0000  0.5000  0.0000  2 Cu 2.28
Cu  0.0000  0.0000  0.0000  6 W 2.28

Calculated values
Crystal system: cubic
M_tot (μB/atom): 0.00
ΔH_f (0 K) (eV/atom): 1.490
Raw total energy (eV/atom): -8.81

---

Record 4
# ZrCu2W

ZrCu2W after structural relaxation (GGA-PBE, Alexandria via LeMat-Bulk).

a = 4.4548 Å, b = 4.4548 Å, c = 4.4548 Å
α = 60.00°, β = 60.00°, γ = 60.00°
Closest atoms and distances in Å follow each position.
Fractional coordinates of all 4 atoms:
Cu  0.7500  0.7500  0.7500  4 W 2.73, 4 Zr 2.73
Cu  0.2500  0.2500  0.2500  4 Zr 2.73, 4 W 2.73
W  0.5000  0.5000  0.5000  8 Cu 2.73
Zr  0.0000  0.0000  0.0000  8 Cu 2.73

Calculated values
Crystal system: cubic
M_tot (μB/atom): 0.00
ΔH_f (0 K) (eV/atom): 0.272
Raw total energy (eV/atom): -7.15

---

Q: Number 1 is which compound?
A: ZrCu3W

---

Q: Look up the M_tot of the third one.
A: 0.00 μB/atom